# Sm2TaInO6

A relaxed Sm2TaInO6 crystal (GGA-PBE, the Open Quantum Materials Database).

Lattice parameters (Å, degrees): 5.7552 5.7552 5.7552 121.87 121.87 86.79
Closest atoms and distances in Å follow each position.
Positions (direct):
Sm  0.2500  0.7500  0.5000  4 O 2.47
Sm  0.7500  0.2500  0.5000  4 O 2.47
Ta  0.0000  0.0000  0.0000  6 O 2.02-2.04
In  0.5000  0.5000  0.0000  6 O 2.14-2.15
O  0.1578  0.6743  0.8321  1 Ta 2.02, 1 In 2.15
O  0.2443  0.2443  0.0000  1 Ta 2.04, 1 In 2.14
O  0.3257  0.1578  0.4835  1 Ta 2.02, 1 In 2.15
O  0.6743  0.8422  0.5165  1 Ta 2.02, 1 In 2.15
O  0.7557  0.7557  0.0000  1 Ta 2.04, 1 In 2.14
O  0.8422  0.3257  0.1679  1 Ta 2.02, 1 In 2.15

## Properties
Magnetization: 1.43 Bohr magnetons per cell
Final energy: -77.7 eV for the cell shown
ρ: 8.79 Mg/m³